1.
This record from Alexandria describes a geometry-optimized LaW2Br structure. The functional is PBE.

Results
**Raw formation energy**: 552 meV per atom
**Total energy**: -30.3 eV/cell
**Crystal system**: monoclinic
**D(E_F)**: 3.51 states/eV per cell
**Distance to the lowest polymorph of the same formula**: 442.7 meV/atom

POSCAR file:
```
LaW2Br
1.0
3.3584 0.0000 0.0000
0.0000 5.8872 0.0000
-0.0860 0.0000 4.8810
La W Br
1 2 1
Direct
0.0000 0.0000 0.0000
0.2567 0.5000 0.1841
0.7433 0.5000 0.8159
0.5000 0.0000 0.5000
```


2.
This record from Alexandria describes a geometry-optimized LaWBr2 structure. The functional is PBE.

Results
**Raw formation energy**: 110 meV per atom
**Total energy**: -20.8 eV/cell
**Crystal system**: monoclinic
**D(E_F)**: 2.70 states/eV per cell
**Distance to the lowest polymorph of the same formula**: 266.8 meV/atom

POSCAR file:
```
LaWBr2
1.0
7.5276 -1.6971 0.0000
7.5276 1.6971 0.0000
-1.3121 0.0000 4.2935
La W Br
1 1 2
Direct
0.0000 0.0000 0.0000
0.6672 0.6672 0.1637
0.1607 0.1607 0.6575
0.3953 0.3953 0.3975
```


3.
This record from Alexandria describes a geometry-optimized LaWBr2 structure. The functional is PBE.

Results
**Raw formation energy**: -129 meV per atom
**Total energy**: -21.7 eV/cell
**Crystal system**: monoclinic
**D(E_F)**: 3.38 states/eV per cell
**Distance to the lowest polymorph of the same formula**: 28.0 meV/atom

POSCAR file:
```
LaWBr2
1.0
7.4226 -1.8120 0.0000
7.4226 1.8120 0.0000
-0.0813 0.0000 4.9048
La W Br
1 1 2
Direct
0.0000 0.0000 0.0000
0.5000 0.5000 0.5000
0.3487 0.3487 0.2453
0.6513 0.6513 0.7547
```


4.
This record from Alexandria describes a geometry-optimized LaW2Br structure. The functional is PBE.

Results
**Raw formation energy**: 169 meV per atom
**Total energy**: -31.8 eV/cell
**Crystal system**: tetragonal
**D(E_F)**: 3.54 states/eV per cell
**Distance to the lowest polymorph of the same formula**: 59.7 meV/atom

POSCAR file:
```
LaW2Br
1.0
3.3583 0.0000 0.0000
0.0000 3.3583 0.0000
0.0000 0.0000 8.8617
La W Br
1 2 1
Direct
0.0000 0.0000 0.0000
0.0000 0.0000 0.3893
0.5000 0.5000 0.2640
0.5000 0.5000 0.7672
```


5.
This record from Alexandria describes a geometry-optimized LaWBr2 structure. The functional is PBE.

Results
**Raw formation energy**: 453 meV per atom
**Total energy**: -19.4 eV/cell
**Crystal system**: cubic
**D(E_F)**: 2.04 states/eV per cell
**Distance to the lowest polymorph of the same formula**: 610.4 meV/atom

POSCAR file:
```
LaWBr2
1.0
0.0000 3.8191 3.8191
3.8191 0.0000 3.8191
3.8191 3.8191 0.0000
La W Br
1 1 2
Direct
0.0000 0.0000 0.0000
0.7500 0.7500 0.7500
0.2500 0.2500 0.2500
0.5000 0.5000 0.5000
```


6.
This record from Alexandria describes a geometry-optimized LaW2Br structure. The functional is PBE.

Results
**Raw formation energy**: 634 meV per atom
**Total energy**: -30.0 eV/cell
**Crystal system**: orthorhombic
**D(E_F)**: 3.37 states/eV per cell
**Distance to the lowest polymorph of the same formula**: 524.3 meV/atom

POSCAR file:
```
LaW2Br
1.0
-1.5841 2.3462 5.7093
1.5841 -2.3462 5.7093
1.5841 2.3462 -5.7093
La W Br
1 2 1
Direct
0.0000 0.0000 0.0000
0.2598 0.7598 0.5000
0.7402 0.2402 0.5000
0.5000 0.5000 0.0000
```


7.
This record from Alexandria describes a geometry-optimized LaWBr3 structure. The functional is PBE.

Results
**Raw formation energy**: 66 meV per atom
**Total energy**: -22.6 eV/cell
**Crystal system**: cubic
**D(E_F)**: 10.49 states/eV per cell
**Distance to the lowest polymorph of the same formula**: 0.0 meV/atom

POSCAR file:
```
LaWBr3
1.0
5.8465 0.0000 0.0000
0.0000 5.8465 0.0000
0.0000 0.0000 5.8465
La W Br
1 1 3
Direct
0.0000 0.0000 0.0000
0.5000 0.5000 0.5000
0.0000 0.0000 0.5000
0.0000 0.5000 0.0000
0.5000 0.0000 0.0000
```


8.
This record from Alexandria describes a geometry-optimized LaW2Br structure. The functional is PBE.

Results
**Raw formation energy**: 1588 meV per atom
**Total energy**: -26.2 eV/cell
**Crystal system**: cubic
**D(E_F)**: 4.25 states/eV per cell
**Distance to the lowest polymorph of the same formula**: 1478.0 meV/atom

POSCAR file:
```
LaW2Br
1.0
0.0000 3.4211 3.4211
3.4211 0.0000 3.4211
3.4211 3.4211 0.0000
La W Br
1 2 1
Direct
0.0000 0.0000 0.0000
0.2500 0.2500 0.2500
0.7500 0.7500 0.7500
0.5000 0.5000 0.5000
```


9.
This record from Alexandria describes a geometry-optimized LaWBr2 structure. The functional is PBE.

Results
**Raw formation energy**: 358 meV per atom
**Total energy**: -19.8 eV/cell
**Crystal system**: cubic
**D(E_F)**: 4.03 states/eV per cell
**Distance to the lowest polymorph of the same formula**: 515.2 meV/atom

POSCAR file:
```
LaWBr2
1.0
0.0000 3.6301 3.6301
3.6301 0.0000 3.6301
3.6301 3.6301 0.0000
La W Br
1 1 2
Direct
0.0000 0.0000 0.0000
0.5000 0.5000 0.5000
0.2500 0.2500 0.2500
0.7500 0.7500 0.7500
```


10.
This record from Alexandria describes a geometry-optimized LaWBr structure. The functional is PBE.

Results
**Raw formation energy**: 562 meV per atom
**Total energy**: -17.9 eV/cell
**Crystal system**: orthorhombic
**D(E_F)**: 2.83 states/eV per cell
**Distance to the lowest polymorph of the same formula**: 7.5 meV/atom

POSCAR file:
```
LaWBr
1.0
0.0000 2.2958 7.2328
2.2757 0.0000 7.2328
2.2757 2.2958 0.0000
La W Br
1 1 1
Direct
0.0000 0.0000 0.0000
0.6542 0.6542 0.3458
0.3466 0.3466 0.6534
```


11.
This record from Alexandria describes a geometry-optimized LaWBr2 structure. The functional is PBE.

Results
**Raw formation energy**: 294 meV per atom
**Total energy**: -20.0 eV/cell
**Crystal system**: tetragonal
**D(E_F)**: 3.93 states/eV per cell
**Distance to the lowest polymorph of the same formula**: 451.5 meV/atom

POSCAR file:
```
LaWBr2
1.0
4.7853 0.0000 0.0000
0.0000 4.7853 0.0000
0.0000 0.0000 3.8471
La W Br
1 1 2
Direct
0.0000 0.0000 0.0000
0.5000 0.5000 0.0000
0.0000 0.5000 0.5000
0.5000 0.0000 0.5000
```


12.
This record from Alexandria describes a geometry-optimized LaWBr structure. The functional is PBE.

Results
**Raw formation energy**: 564 meV per atom
**Total energy**: -17.9 eV/cell
**Crystal system**: trigonal
**D(E_F)**: 2.81 states/eV per cell
**Distance to the lowest polymorph of the same formula**: 9.0 meV/atom

POSCAR file:
```
LaWBr
1.0
3.1938 0.0000 0.0000
-1.5969 2.7659 0.0000
0.0000 0.0000 7.6759
La W Br
1 1 1
Direct
0.0000 0.0000 0.0000
0.6667 0.3333 0.3590
0.3333 0.6667 0.6152
```


> Which of these has the lowest total energy?

number 4